1.
## Ac6Tl3IrRh2 (PBE-GGA)

Data for an optimized crystal structure of Ac6Tl3IrRh2.

Computed properties:
Raw total energy ... -61.70 eV/cell

Geometry as POSCAR:
```
Ac6Tl3IrRh2
1.0
-4.896 4.980 -2.518
2.257 -5.540 -4.396
-5.616 -4.745 5.190
Ac Tl Ir Rh
6 3 1 2
Direct
0.935 0.602 0.805
0.732 0.732 0.193
0.065 0.398 0.195
0.602 0.935 0.805
0.268 0.268 0.807
0.398 0.065 0.195
0.163 0.837 0.500
0.837 0.163 0.500
0.500 0.500 0.500
0.000 0.000 0.000
0.333 0.667 0.000
0.667 0.333 0.000
```


2.
## Sm2Er5Sc5 (PBE-GGA)

Data for an optimized crystal structure of Sm2Er5Sc5.

Computed properties:
Raw total energy ... -63.28 eV/cell

Geometry as POSCAR:
```
Sm2Er5Sc5
1.0
4.837 0.000 0.000
-2.418 7.262 -0.416
0.000 -4.279 9.944
Sm Er Sc
2 5 5
Direct
0.083 0.167 0.745
0.917 0.833 0.255
0.500 0.000 0.500
0.665 0.330 0.000
0.588 0.176 0.252
0.412 0.824 0.748
0.335 0.670 0.000
0.171 0.342 0.501
0.751 0.503 0.747
0.249 0.497 0.253
0.829 0.658 0.499
0.000 0.000 0.000
```


3.
## Y2MgCo9 (PBE-GGA)

Data for an optimized crystal structure of Y2MgCo9.

Computed properties:
Raw total energy ... -79.16 eV/cell

Geometry as POSCAR:
```
Y2MgCo9
1.0
-3.395 -0.405 -3.563
0.231 -3.739 -3.216
-5.656 -5.877 2.636
Y Mg Co
2 1 9
Direct
0.863 0.863 0.412
0.137 0.137 0.588
0.000 0.000 0.000
0.665 0.665 0.004
0.335 0.335 0.996
0.500 0.500 0.500
0.419 0.419 0.242
0.921 0.419 0.242
0.419 0.921 0.242
0.581 0.581 0.758
0.581 0.079 0.758
0.079 0.581 0.758
```


4.
## Be2MoRu (PBE-GGA)

Data for an optimized crystal structure of Be2MoRu.

Computed properties:
Raw total energy ... -27.07 eV/cell

Geometry as POSCAR:
```
Be2MoRu
1.0
-2.830 2.838 -2.384
-2.482 -2.274 -3.227
0.830 0.209 4.584
Ru Mo Be
1 1 2
Direct
0.250 0.750 0.500
0.750 0.250 0.500
0.009 0.009 0.000
0.491 0.491 0.000
```


5.
## Li2LaHf2 (PBE-GGA)

Data for an optimized crystal structure of Li2LaHf2.

Computed properties:
Raw total energy ... -25.66 eV/cell

Geometry as POSCAR:
```
Li2LaHf2
1.0
4.176 0.000 0.000
0.000 4.176 0.000
2.088 2.088 7.120
Li Hf La
2 2 1
Direct
0.750 0.250 0.500
0.250 0.750 0.500
0.401 0.401 0.197
0.599 0.599 0.803
0.000 0.000 0.000
```


6.
## Pr11Y9Tm4 (PBE-GGA)

Data for an optimized crystal structure of Pr11Y9Tm4.

Computed properties:
Raw total energy ... -127.51 eV/cell

Geometry as POSCAR:
```
Pr11Y9Tm4
1.0
-0.704 1.200 -3.406
13.199 -6.505 -5.020
-12.238 -9.554 -0.835
Pr Y Tm
11 9 4
Direct
0.000 0.594 0.956
0.000 0.406 0.044
0.000 0.956 0.594
0.000 0.044 0.406
0.000 0.631 0.369
0.000 0.369 0.631
0.000 0.840 0.160
0.000 0.160 0.840
0.000 0.000 0.000
0.000 0.706 0.706
0.000 0.294 0.294
0.500 0.630 0.166
0.500 0.370 0.834
0.500 0.166 0.630
0.500 0.834 0.370
0.500 0.785 0.931
0.500 0.215 0.069
0.500 0.931 0.785
0.500 0.069 0.215
0.500 0.500 0.500
0.500 0.555 0.759
0.500 0.445 0.241
0.500 0.759 0.555
0.500 0.241 0.445
```